[1]
Computed, not measured: a relaxed RbYMnSe3 crystal at the PBE-GGA level of DFT.

The space group is P2_1/m (No. 11) and the conventional cell measures 9.3590, 4.2437 and 10.0800 Å, with angles of 90.00, 109.24 and 90.00 degrees. The distinct sites, in fractional coordinates, are Rb at (0.2107, 0.2500, 0.2373), Y at (0.3330, 0.7500, 0.8615), Mn at (0.0862, 0.2500, 0.6100), Se at (0.1185, 0.2500, 0.8622), Se at (0.2019, 0.7500, 0.5414) and Se at (0.4679, 0.7500, 0.1577).

The calculation puts the total magnetic moment at 10.00 μB per cell. Its total energy is -5.814 eV per atom. The uncorrected formation energy comes out at -1.305 eV per atom. The calculation puts the calculated volume at 31.498 Å³/atom.

[2]
Computed, not measured: a relaxed CrNi crystal at the PBE-GGA level of DFT.

The space group is Cm (No. 8) and the conventional cell measures 9.3978, 2.4383 and 6.0206 Å, with angles of 90.00, 104.28 and 90.00 degrees. The distinct sites, in fractional coordinates, are Cr at (0.0000, 0.0000, 0.0000), Cr at (0.0605, 0.0000, 0.6212), Cr at (0.1748, 0.5000, 0.3324), Ni at (0.2269, 0.5000, 0.9490), Ni at (0.3366, 0.0000, 0.6674) and Ni at (0.3966, 0.0000, 0.2868).

The calculation puts the total magnetic moment at 0.00 μB per cell. Its total energy is -7.645 eV per atom. The energy relative to the elements is 57.2 meV/atom. The calculation puts the calculated volume at 11.142 Å³/atom.